4
Lattice="1.792 1.035 12.303 -1.792 1.035 12.303 0.000 -2.069 12.303" Properties=species:S:1:pos:R:3 comment="NaSm2Tl PBE-GGA relaxed" de_polymorph_mev_per_atom=155 dos_at_fermi_per_ev_cell=4.29 spacegroup="No. 166" vol_a3_per_cell=136.86 delta_e_f_ev_per_atom=0.0723 pbc="T T T"
Na 0.000 0.000 0.000
Sm 0.000 0.000 3.586
Sm 0.000 0.000 33.323
Tl 0.000 0.000 18.454